(1)
First-principles (GGA-PBE) data for a relaxed Ca2YTa crystal, as listed in the Alexandria database.

The structure in POSCAR format:
```
Ca2YTa
1.0
5.218 0.000 0.000
0.000 4.734 0.000
0.000 0.000 4.734
Y Ca Ta
1 2 1
Direct
0.500 0.000 0.500
0.000 0.000 0.000
0.000 0.500 0.500
0.500 0.500 0.000
```

Energy relative to the elements (eV per atom): 0.673
Total magnetization (μB/cell): 1.8
SG: P4/mmm


(2)
First-principles (GGA-PBE) data for a relaxed Ca2YTa crystal, as listed in the Alexandria database.

The structure in POSCAR format:
```
Ca2YTa
1.0
-4.258 0.772 4.516
5.662 -1.938 1.818
0.940 3.084 0.359
Y Ca Ta
1 2 1
Direct
0.000 0.500 0.500
0.000 0.000 0.000
0.500 0.500 0.000
0.500 0.000 0.500
```

Energy relative to the elements (eV per atom): 0.681
Total magnetization (μB/cell): 0.0
SG: Cmmm


(3)
First-principles (GGA-PBE) data for a relaxed Ca2YTa crystal, as listed in the Alexandria database.

The structure in POSCAR format:
```
Ca2YTa
1.0
6.863 0.099 0.111
3.259 6.041 -0.111
-4.173 -4.534 3.026
Y Ca Ta
1 2 1
Direct
0.286 0.786 0.500
0.002 0.002 0.000
0.720 0.220 0.500
0.492 0.492 0.000
```

Energy relative to the elements (eV per atom): 0.607
Total magnetization (μB/cell): 1.0
SG: Imm2


(4)
First-principles (GGA-PBE) data for a relaxed Ca2YTa crystal, as listed in the Alexandria database.

The structure in POSCAR format:
```
Ca2YTa
1.0
5.741 0.002 -0.004
4.780 3.181 -0.004
0.966 0.292 6.383
Y Ca Ta
1 2 1
Direct
0.235 0.235 0.295
0.000 0.000 0.004
0.763 0.763 0.737
0.501 0.501 0.464
```

Energy relative to the elements (eV per atom): 0.552
Total magnetization (μB/cell): 0.0
SG: Cm


> Among the records above, which one has the highest total magnetization?

number 1


> Which formula does entry 1 have?

Ca2YTa


> What is the formula in the fourth record?

Ca2YTa


> What is the formula in the first record?

Ca2YTa